Here is NaBi2P after structural relaxation from Alexandria. Energies are from PBE.

- total magnetization (μB per cell) = 0.0
- E_tot (eV for the cell shown) = -27.831
- SG = I-42d (122)

abc: 7.7319 7.7319 7.1050
angles: 57.04 57.04 90.00
Fractional positions:
P 0.0000 0.0000 0.0000
P 0.7500 0.2500 0.5000
Bi 0.6903 0.1250 0.2500
Bi 0.0597 0.6250 0.2500
Bi 0.3750 0.3097 0.7500
Bi 0.8750 0.9403 0.7500
Na 0.5000 0.5000 0.0000
Na 0.2500 0.7500 0.5000

***

Here is MnCrTcPd after structural relaxation from Alexandria. Energies are from PBE.

- total magnetization (μB per cell) = 1.0
- E_tot (eV for the cell shown) = -33.904
- SG = Pmm2 (25)

abc: 2.7293 3.7180 5.4547
angles: 90.00 90.00 90.00
Fractional positions:
Cr 0.8969 0.5000 0.6853
Mn 0.3970 0.0000 0.4516
Tc 0.3969 0.0000 0.9116
Pd 0.8968 0.5000 0.1935

***

Here is ZnSi2Se4 after structural relaxation from Alexandria. Energies are from PBE.

- total magnetization (μB per cell) = 0.0
- E_tot (eV for the cell shown) = -27.783
- SG = I4/m (87)
- formation energy (no corrections) (meV/atom) = -246

abc: 6.9809 6.9809 6.9809
angles: 100.34 100.34 129.87
Fractional positions:
Zn 0.5000 0.5000 0.0000
Si 0.2500 0.7500 0.5000
Si 0.7500 0.2500 0.5000
Se 0.3184 0.0786 0.3971
Se 0.9214 0.3184 0.2398
Se 0.0786 0.6816 0.7602
Se 0.6816 0.9214 0.6029

***

Here is La5PmTl4 after structural relaxation from Alexandria. Energies are from PBE.

- total magnetization (μB per cell) = 0.0
- E_tot (eV for the cell shown) = -42.098
- SG = P4/mmm (123)

abc: 3.7251 3.7251 23.2280
angles: 90.00 90.00 90.00
Fractional positions:
La 0.5000 0.5000 0.1128
La 0.5000 0.5000 0.3058
La 0.5000 0.5000 0.5000
La 0.5000 0.5000 0.6942
La 0.5000 0.5000 0.8872
Pm 0.0000 0.0000 0.0000
Tl 0.0000 0.0000 0.2086
Tl 0.0000 0.0000 0.4026
Tl 0.0000 0.0000 0.5974
Tl 0.0000 0.0000 0.7914

***

Here is Pm2Ga3Au2 after structural relaxation from Alexandria. Energies are from PBE.

- total magnetization (μB per cell) = 0.0
- E_tot (eV for the cell shown) = -59.733
- SG = Cmcm (63)

abc: 4.3384 7.3489 9.7433
angles: 90.00 102.86 90.00
Fractional positions:
Pm 0.1569 0.2500 0.3139
Pm 0.8431 0.7500 0.6861
Pm 0.9424 0.2500 0.8847
Pm 0.0576 0.7500 0.1153
Ga 0.2265 0.7500 0.4529
Ga 0.7735 0.2500 0.5471
Ga 0.5563 0.4210 0.1125
Ga 0.4437 0.5790 0.8875
Ga 0.4437 0.9210 0.8875
Ga 0.5563 0.0790 0.1125
Au 0.6842 0.9473 0.3684
Au 0.3158 0.0527 0.6316
Au 0.3158 0.4473 0.6316
Au 0.6842 0.5527 0.3684

***

Here is Pm8Pr3Tl after structural relaxation from Alexandria. Energies are from PBE.

- total magnetization (μB per cell) = 0.0
- E_tot (eV for the cell shown) = -49.482
- SG = I-42m (121)

abc: 8.4865 8.4865 8.4866
angles: 94.13 117.64 117.64
Fractional positions:
Pm 0.5047 0.2657 0.2657
Pm 0.4953 0.7610 0.7610
Pm 0.0000 0.7343 0.2390
Pm 0.0000 0.2390 0.7343
Pm 0.2527 0.3784 0.3784
Pm 0.7473 0.1257 0.1257
Pm 0.0000 0.6216 0.8743
Pm 0.0000 0.8743 0.6216
Pr 0.5000 0.7500 0.2500
Pr 0.5000 0.2500 0.7500
Pr 0.0000 0.5000 0.5000
Tl 0.0000 0.0000 0.0000